i | A plane-wave DFT calculation with meta-GGA SCAN was carried out for HgSbIr at its PBEsol-relaxed geometry.

The structure in POSCAR format:
```
HgSbIr
1.0
-0.441 -0.765 -2.967
3.023 0.383 -0.548
-0.250 -5.973 3.191
Ir Sb Hg
1 1 1
Direct
0.323 0.323 0.646
0.699 0.699 0.398
0.978 0.978 0.956
```

=====

ii | A plane-wave DFT calculation with meta-GGA SCAN was carried out for HgSbIr at its PBEsol-relaxed geometry.

The structure in POSCAR format:
```
HgSbIr
1.0
4.487 0.000 0.000
2.244 3.886 0.000
2.244 1.295 3.664
Hg Ir Sb
1 1 1
Direct
0.500 0.500 0.500
0.250 0.250 0.250
0.000 0.000 0.000
```

=====

Going by the energies, ii is most stable and the next is 8.5 kJ/mol of atoms up.

=====

i | A plane-wave DFT calculation with meta-GGA SCAN was carried out for HgIr2Se at its PBEsol-relaxed geometry.

The structure in POSCAR format:
```
HgIr2Se
1.0
2.923 0.000 0.000
0.000 5.173 0.020
-1.461 -0.468 5.038
Se Ir Hg
1 2 1
Direct
0.564 0.567 0.127
0.205 0.844 0.409
0.921 0.804 0.843
0.811 0.285 0.621
```

=====

ii | A plane-wave DFT calculation with meta-GGA SCAN was carried out for HgIr2Se at its PBEsol-relaxed geometry.

The structure in POSCAR format:
```
HgIr2Se
1.0
4.224 0.000 0.000
-2.112 4.200 -0.001
0.000 2.125 3.650
Hg Se Ir
1 1 2
Direct
0.000 0.000 0.000
0.500 0.000 0.500
0.250 0.500 0.250
0.750 0.500 0.750
```

=====

Going by the energies, i is most stable and the next is 48.0 kJ/mol of atoms up.

=====

i | A plane-wave DFT calculation with meta-GGA SCAN was carried out for TlHgIr2 at its PBEsol-relaxed geometry.

The structure in POSCAR format:
```
TlHgIr2
1.0
-0.129 0.956 2.708
-4.653 0.495 -0.397
1.704 -5.780 0.596
Ir Hg Tl
2 1 1
Direct
0.971 0.971 0.941
0.272 0.772 0.543
0.730 0.230 0.460
0.528 0.528 0.055
```

=====

ii | A plane-wave DFT calculation with meta-GGA SCAN was carried out for TlHgIr2 at its PBEsol-relaxed geometry.

The structure in POSCAR format:
```
TlHgIr2
1.0
3.000 0.000 0.000
-1.500 4.537 -0.022
0.000 -1.023 5.077
Ir Tl Hg
2 1 1
Direct
0.753 0.505 0.741
0.247 0.495 0.259
0.500 0.000 0.000
0.000 0.000 0.500
```

=====

Going by the energies, i is most stable and the next is 8.3 kJ/mol of atoms up.

=====

i | A plane-wave DFT calculation with meta-GGA SCAN was carried out for K5Hg at its PBEsol-relaxed geometry.

The structure in POSCAR format:
```
K5Hg
1.0
-0.325 4.328 0.866
1.177 0.794 7.786
10.193 2.615 2.063
K Hg
5 1
Direct
0.654 0.623 0.068
0.028 0.501 0.444
0.694 0.947 0.666
0.362 0.053 0.223
0.402 0.376 0.820
0.027 0.000 0.945
```

=====

ii | A plane-wave DFT calculation with meta-GGA SCAN was carried out for K5Hg at its PBEsol-relaxed geometry.

The structure in POSCAR format:
```
K5Hg
1.0
5.712 0.000 0.000
0.000 6.220 0.000
-2.856 0.000 8.992
K Hg
5 1
Direct
0.615 0.000 0.230
0.472 0.500 0.944
0.128 0.500 0.256
0.329 0.000 0.659
0.816 0.500 0.633
0.972 0.000 0.944
```

=====

Going by the energies, i is most stable and the next is 4.4 kJ/mol of atoms up.

=====

i | A plane-wave DFT calculation with meta-GGA SCAN was carried out for KLaHg at its PBEsol-relaxed geometry.

The structure in POSCAR format:
```
KLaHg
1.0
5.261 0.000 0.000
2.630 4.556 0.000
2.630 1.519 4.295
K Hg La
1 1 1
Direct
0.500 0.500 0.500
0.000 0.000 0.000
0.250 0.250 0.250
```

=====

ii | A plane-wave DFT calculation with meta-GGA SCAN was carried out for KLaHg at its PBEsol-relaxed geometry.

The structure in POSCAR format:
```
KLaHg
1.0
3.846 0.000 0.000
0.000 3.846 0.000
-1.923 -1.923 7.718
K Hg La
1 1 1
Direct
0.641 0.641 0.281
0.981 0.981 0.962
0.378 0.378 0.757
```

=====

Going by the energies, ii is most stable and the next is 45.6 kJ/mol of atoms up.

=====

i | A plane-wave DFT calculation with meta-GGA SCAN was carried out for KMgHg at its PBEsol-relaxed geometry.

The structure in POSCAR format:
```
KMgHg
1.0
3.823 0.000 0.000
0.000 3.823 0.000
-1.911 -1.911 6.350
Mg K Hg
1 1 1
Direct
0.382 0.382 0.764
0.658 0.658 0.317
0.959 0.959 0.919
```

=====

ii | A plane-wave DFT calculation with meta-GGA SCAN was carried out for KMgHg at its PBEsol-relaxed geometry.

The structure in POSCAR format:
```
KMgHg
1.0
-5.215 0.142 -0.485
-2.450 -3.534 -2.994
-2.939 -3.727 2.219
Hg Mg K
1 1 1
Direct
0.000 0.000 0.000
0.250 0.250 0.250
0.500 0.500 0.500
```

=====

Going by the energies, i is most stable and the next is 28.2 kJ/mol of atoms up.